No. 1
LiLa2Ta: optimized geometry, PBE.

Lattice parameters (Å, degrees): 3.2993 3.2992 10.0766 90.00 90.05 90.00
Last column: nearest neighbours and their distance in Å.
Space group P2/m (No. 10)
One atom of each set of equivalent atoms:
Li (0.0000, 0.0000, 0.0000) x1  4 Li 3.30, 8 La 3.60-3.61
La (0.4989, 0.5000, 0.2731) x2  4 Ta 3.27, 4 La 3.30, 4 Li 3.60-3.61
Ta (0.0000, 0.0000, 0.5000) x1  8 La 3.27, 4 Ta 3.30

Summary:
electronic total energy = -22.41 eV per cell
size of the total moment = 0.000 μB per atom
E_form = 303 meV/atom
DOS(E_F) = 1.06 states/eV/atom
crystal system = monoclinic
energy relative to the lowest polymorph listed for this composition = 0.000 eV per atom

***

No. 2
LiLa2Ta: optimized geometry, PBE.

Lattice parameters (Å, degrees): 3.3348 3.3348 34.0295 90.00 90.00 120.00
Last column: nearest neighbours and their distance in Å.
Space group R-3m (No. 166, hexagonal axes)
One atom of each set of equivalent atoms:
Li (0.0000, 0.0000, 0.0000) x3  6 Li 3.33, 6 La 3.62
La (0.0000, 0.0000, 0.2431) x6  3 Ta 3.24, 6 La 3.33, 3 Li 3.62
Ta (0.0000, 0.0000, 0.5000) x3  6 La 3.24, 6 Ta 3.33

Summary:
electronic total energy = -65.86 eV per cell
size of the total moment = 0.000 μB per atom
E_form = 417 meV/atom
DOS(E_F) = 1.20 states/eV/atom
crystal system = trigonal
energy relative to the lowest polymorph listed for this composition = 0.114 eV per atom